1.
# Mg2AsCl

Mg2AsCl after structural relaxation (PBE, Alexandria via LeMat-Bulk).

Results
raw formation energy: -0.76 eV per atom
energy above the lowest structure with this stoichiometry: 190 meV per atom

a b c (Å): 3.420 3.723 6.894
angles (deg): 90.00 90.00 90.00
Space group Pmmm (No. 47)
Inequivalent atoms, fractional coordinates:
1 Mg 0.000 0.000 0.202 (multiplicity 2)
2 As 0.500 0.500 0.000 (multiplicity 1)
3 Cl 0.500 0.000 0.500 (multiplicity 1)



2.
# Mn3CoP

Mn3CoP after structural relaxation (PBE, Alexandria via LeMat-Bulk).

Results
formation energy from the elements: 89.87 kJ/mol of atoms

a b c (Å): 4.386 4.386 4.386
angles (deg): 90.00 90.00 90.00
Space group Pm-3m (No. 221)
Inequivalent atoms, fractional coordinates:
1 Mn 0.000 0.000 0.500 (multiplicity 3)
2 Co 0.000 0.000 0.000 (multiplicity 1)
3 P 0.500 0.500 0.500 (multiplicity 1)



3.
# Li3CuS2

Li3CuS2 after structural relaxation (PBE, Alexandria via LeMat-Bulk).

Results
raw formation energy: -0.99 eV per atom

a b c (Å): 6.6605 6.6605 15.4339
angles (deg): 90.00 90.00 120.00
Space group R-3c (No. 167, hexagonal axes)
Inequivalent atoms, fractional coordinates:
1 Li 0.0000 0.2757 0.2500 (multiplicity 18)
2 Cu 0.0000 0.0000 0.0000 (multiplicity 6)
3 S 0.0000 0.0000 0.1378 (multiplicity 12)